VASP calculation (PBEsol) on a relaxed BaCoO2F crystal.

Properties
- Fermi-level density of states: 2.70 states/eV/cell
- Formation energy from raw total energies: -2064 meV per atom
- Symmetry: P4/mmm
- Volume: 62.6 Å³ per cell

abc: 3.8203 3.8203 4.2890
angles: 90.00 90.00 90.00
Sites, in units of the cell vectors:
Ba  0.0000  0.0000  0.0000
Co  0.5000  0.5000  0.5000
O  0.0000  0.5000  0.5000
O  0.5000  0.0000  0.5000
F  0.5000  0.5000  0.0000

=====

VASP calculation (PBEsol) on a relaxed BaZn2CoF crystal.

Properties
- Fermi-level density of states: 3.38 states/eV/cell
- Formation energy from raw total energies: -74 meV per atom
- Symmetry: P4/mmm
- Volume: 110.5 Å³ per cell

abc: 4.7307 4.7307 4.9382
angles: 90.00 90.00 90.00
Sites, in units of the cell vectors:
Ba  0.0000  0.0000  0.0000
Zn  0.0000  0.5000  0.5000
Zn  0.5000  0.0000  0.5000
Co  0.5000  0.5000  0.0000
F  0.0000  0.0000  0.5000

=====

VASP calculation (PBEsol) on a relaxed BaZnCoF7 crystal.

Properties
- Formation energy from raw total energies: -2595 meV per atom
- Symmetry: P2_1/c
- Volume: 500.4 Å³ per cell

abc: 5.4634 9.7332 9.4235
angles: 90.00 93.12 90.00
Sites, in units of the cell vectors:
Ba  0.2444  0.1825  0.4988
Ba  0.2444  0.3175  0.9988
Ba  0.7556  0.6825  0.0012
Ba  0.7556  0.8175  0.5012
Zn  0.1952  0.5992  0.3124
Zn  0.1952  0.9008  0.8124
Zn  0.8048  0.0992  0.1876
Zn  0.8048  0.4008  0.6876
Co  0.3053  0.6166  0.6868
Co  0.3053  0.8834  0.1868
Co  0.6947  0.1166  0.8132
Co  0.6947  0.3834  0.3132
F  0.0273  0.7022  0.7494
F  0.0273  0.7978  0.2494
F  0.1203  0.5451  0.1205
F  0.1203  0.9549  0.6205
F  0.1443  0.0431  0.1300
F  0.1443  0.4569  0.6300
F  0.2359  0.6920  0.5068
F  0.2359  0.8080  0.0068
F  0.3834  0.5450  0.8607
F  0.3834  0.9550  0.3607
F  0.4039  0.0563  0.8791
F  0.4039  0.4437  0.3791
F  0.4752  0.7268  0.2457
F  0.4752  0.7732  0.7457
F  0.5248  0.2268  0.2543
F  0.5248  0.2732  0.7543
F  0.5961  0.5563  0.6209
F  0.5961  0.9437  0.1209
F  0.6166  0.0450  0.6393
F  0.6166  0.4550  0.1393
F  0.7641  0.1920  0.9932
F  0.7641  0.3080  0.4932
F  0.8557  0.5431  0.3700
F  0.8557  0.9569  0.8700
F  0.8797  0.0451  0.3795
F  0.8797  0.4549  0.8795
F  0.9727  0.2022  0.7506
F  0.9727  0.2978  0.2506

=====

> The lowest formation energy from raw total energies belongs to which entry?

BaZnCoF7